No. 1
Density functional theory data (PBE-GGA) for a geometry-optimized RbGa3Sn structure.

Summary:
DFT formation energy (eV per atom): -0.09

Cell: 6.1250 6.5060 7.4702 Å, 89.84 88.52 86.63°
Last column: nearest neighbours and their distance in Å.
Space group P1 (No. 1)
Inequivalent atoms, fractional coordinates:
Rb (0.0000, 0.0000, 0.0000) [1 per cell]  5 Ga 3.51-3.85, 2 Sn 3.74-3.79
Rb (0.3950, 0.4823, 0.2037) [1 per cell]  9 Ga 3.61-4.04, 2 Sn 3.85-3.99
Ga (0.1912, 0.9378, 0.4856) [1 per cell]  2 Ga 2.56-2.61, 1 Sn 2.80
Ga (0.2025, 0.5336, 0.7150) [1 per cell]  2 Ga 2.56-2.60, 1 Sn 2.83
Ga (0.5152, 0.2456, 0.7085) [1 per cell]  2 Ga 2.60-2.71, 2 Sn 2.76-2.83
Ga (0.5793, 0.9769, 0.3602) [1 per cell]  2 Ga 2.56-2.62
Ga (0.8164, 0.4874, 0.8420) [1 per cell]  2 Ga 2.56-2.71, 1 Sn 2.84
Ga (0.8672, 0.6953, 0.4712) [1 per cell]  2 Ga 2.61-2.62, 1 Sn 2.74
Sn (0.5247, 0.8240, 0.7497) [1 per cell]  5 Ga 2.76-3.00
Sn (0.8850, 0.2735, 0.4758) [1 per cell]  4 Ga 2.74-2.91



No. 2
Density functional theory data (PBE-GGA) for a geometry-optimized Tb2B2Rh5Au structure.

Summary:
DFT formation energy (eV per atom): -0.68

Cell: 9.6157 9.6157 3.2451 Å, 90.00 90.00 90.00°
Last column: nearest neighbours and their distance in Å.
Space group P4/mbm (No. 127)
Inequivalent atoms, fractional coordinates:
Tb (0.1768, 0.3232, 0.0000) [4 per cell]  3 B 2.73-2.92, 10 Rh 2.90-3.02
B (0.1223, 0.6223, 0.0000) [4 per cell]  6 Rh 2.23-2.32
Rh (0.0000, 0.5000, 0.5000) [2 per cell]  4 B 2.32
Rh (0.0706, 0.7729, 0.5000) [8 per cell]  2 B 2.23
Au (0.0000, 0.0000, 0.0000) [2 per cell]  8 Rh 2.80



No. 3
Density functional theory data (PBE-GGA) for a geometry-optimized LaTl2O2 structure.

Summary:
E_form (uncorrected) (meV/atom): -1401

Cell: 6.7028 6.7028 5.1279 Å, 90.00 90.00 90.00°
Last column: nearest neighbours and their distance in Å.
Space group P4/mbm (No. 127)
Inequivalent atoms, fractional coordinates:
La (0.0000, 0.0000, 0.0000) [2 per cell]  4 O 2.37
Tl (0.1708, 0.3292, 0.5000) [4 per cell]  2 O 2.67
O (0.2502, 0.2498, 0.0000) [4 per cell]  2 La 2.37



No. 4
Density functional theory data (PBE-GGA) for a geometry-optimized Cu2SbI8 structure.

Summary:
E_form (uncorrected) (meV/atom): -23

Cell: 8.4506 8.4506 8.0447 Å, 90.00 90.00 120.00°
Last column: nearest neighbours and their distance in Å.
Space group P-3m1 (No. 164)
Inequivalent atoms, fractional coordinates:
Cu (0.3333, 0.6667, 0.2463) [2 per cell]  4 I 2.52-2.58
Sb (0.0000, 0.0000, 0.5000) [1 per cell]  6 I 2.98
I (0.1572, 0.3143, 0.2651) [6 per cell]  1 Cu 2.58
I (0.3333, 0.6667, 0.9328) [2 per cell]  1 Cu 2.52



No. 5
Density functional theory data (PBE-GGA) for a geometry-optimized Na2GaBr4 structure.

Summary:
E_form (uncorrected) (meV/atom): -1041

Cell: 5.3288 5.3288 15.3995 Å, 90.00 90.00 90.00°
Last column: nearest neighbours and their distance in Å.
Space group I4/mmm (No. 139)
Inequivalent atoms, fractional coordinates:
Na (0.0000, 0.0000, 0.1384) [4 per cell]  1 Br 2.83
Ga (0.0000, 0.0000, 0.5000) [2 per cell]  6 Br 2.66-2.74
Br (0.0000, 0.0000, 0.3224) [4 per cell]  1 Ga 2.74, 1 Na 2.83
Br (0.0000, 0.5000, 0.0000) [4 per cell]  2 Ga 2.66



No. 6
Density functional theory data (PBE-GGA) for a geometry-optimized Al2AgAu structure.

Summary:
DFT formation energy (eV per atom): -0.13

Cell: 3.0258 3.0258 26.0479 Å, 90.00 90.00 120.00°
Last column: nearest neighbours and their distance in Å.
Space group R3m (No. 160, hexagonal axes)
Inequivalent atoms, fractional coordinates:
Al (0.0000, 0.0000, 0.0000) [3 per cell]  3 Ag 2.73, 9 Al 2.80-3.03
Al (0.0000, 0.0000, 0.2491) [3 per cell]  3 Au 2.64, 3 Al 2.80
Ag (0.0000, 0.0000, 0.7472) [3 per cell]  3 Al 2.73, 3 Au 2.97, 6 Ag 3.03
Au (0.0000, 0.0000, 0.5062) [3 per cell]  3 Al 2.64



No. 7
Density functional theory data (PBE-GGA) for a geometry-optimized CdPd5Pb structure.

Summary:
DFT formation energy (eV per atom): -0.21

Cell: 4.0055 4.0055 7.9884 Å, 90.00 90.00 90.00°
Last column: nearest neighbours and their distance in Å.
Space group P4/mmm (No. 123)
Inequivalent atoms, fractional coordinates:
Cd (0.0000, 0.0000, 0.0000) [1 per cell]  12 Pd 2.83-2.87
Pd (0.0000, 0.5000, 0.2565) [4 per cell]  2 Pb 2.79, 6 Pd 2.83-2.87, 2 Cd 2.87
Pd (0.5000, 0.5000, 0.0000) [1 per cell]  4 Cd 2.83, 8 Pd 2.87
Pb (0.5000, 0.5000, 0.5000) [1 per cell]  8 Pd 2.79



No. 8
Density functional theory data (PBE-GGA) for a geometry-optimized AlSi2Ru structure.

Summary:
E_form (uncorrected) (meV/atom): 17

Cell: 3.0583 4.1852 4.3565 Å, 90.00 90.00 90.00°
Last column: nearest neighbours and their distance in Å.
Space group Pmmm (No. 47)
Inequivalent atoms, fractional coordinates:
Al (0.0000, 0.0000, 0.0000) [1 per cell]  4 Si 2.59, 4 Ru 2.66
Si (0.0000, 0.5000, 0.5000) [1 per cell]  4 Ru 2.59, 4 Si 2.66
Si (0.5000, 0.5000, 0.0000) [1 per cell]  4 Al 2.59, 4 Si 2.66
Ru (0.5000, 0.0000, 0.5000) [1 per cell]  4 Si 2.59, 4 Al 2.66



No. 9
Density functional theory data (PBE-GGA) for a geometry-optimized LaNdIrI structure.

Summary:
E_form (uncorrected) (meV/atom): -1018

Cell: 4.2297 4.2297 24.7746 Å, 90.00 90.00 120.00°
Last column: nearest neighbours and their distance in Å.
Space group R3m (No. 160, hexagonal axes)
Inequivalent atoms, fractional coordinates:
La (0.0000, 0.0000, 0.0000) [3 per cell]  3 Ir 2.87
Nd (0.0000, 0.0000, 0.7886) [3 per cell]  3 Ir 2.88
Ir (0.0000, 0.0000, 0.3940) [3 per cell]  3 La 2.87, 3 Nd 2.88
I (0.0000, 0.0000, 0.2237) [3 per cell]  3 Nd 3.51, 3 La 3.65



No. 10
Density functional theory data (PBE-GGA) for a geometry-optimized SrSc2Ag structure.

Summary:
DFT formation energy (eV per atom): 0.23

Cell: 3.6027 3.6027 30.8412 Å, 90.00 90.00 120.00°
Last column: nearest neighbours and their distance in Å.
Space group R-3m (No. 166, hexagonal axes)
Inequivalent atoms, fractional coordinates:
Sr (0.0000, 0.0000, 0.0000) [3 per cell]  6 Sr 3.60, 6 Sc 3.78
Sc (0.0000, 0.0000, 0.2311) [6 per cell]  3 Ag 2.88
Ag (0.0000, 0.0000, 0.5000) [3 per cell]  6 Sc 2.88



No. 11
Density functional theory data (PBE-GGA) for a geometry-optimized YGeIr structure.

Summary:
DFT formation energy (eV per atom): -0.82

Cell: 4.3301 4.3301 3.6884 Å, 90.00 90.00 120.00°
Last column: nearest neighbours and their distance in Å.
Space group P-6m2 (No. 187)
Inequivalent atoms, fractional coordinates:
Y (0.0000, 0.0000, 0.0000) [1 per cell]  6 Ge 3.11, 6 Ir 3.11
Ge (0.3333, 0.6667, 0.5000) [1 per cell]  3 Ir 2.50
Ir (0.6667, 0.3333, 0.5000) [1 per cell]  3 Ge 2.50



No. 12
Density functional theory data (PBE-GGA) for a geometry-optimized K3TaAl structure.

Summary:
DFT formation energy (eV per atom): 1.67

Cell: 6.6207 6.6207 6.6207 Å, 90.00 90.00 90.00°
Last column: nearest neighbours and their distance in Å.
Space group Pm-3m (No. 221)
Inequivalent atoms, fractional coordinates:
K (0.0000, 0.0000, 0.5000) [3 per cell]  2 Ta 3.31
Ta (0.0000, 0.0000, 0.0000) [1 per cell]  6 K 3.31
Al (0.5000, 0.5000, 0.5000) [1 per cell]  12 K 4.68